*one*
## SrAcCu4 (PBE-GGA)

Data for crystalline SrAcCu4 at its relaxed geometry.

abc: 5.5652 5.5652 5.5652
angles: 60.00 60.00 60.00
With the nearest neighbours (Å) after each atom.
Element x y z (fractional)
Sr (0.0000, 0.0000, 0.0000)  12 Cu 3.26, 4 Ac 3.41
Cu (0.6278, 0.1165, 0.6278)  6 Cu 2.72-2.85
Cu (0.6278, 0.6278, 0.6278)  6 Cu 2.72-2.85
Cu (0.6278, 0.6278, 0.1165)  6 Cu 2.72-2.85
Cu (0.1165, 0.6278, 0.6278)  6 Cu 2.72-2.85
Ac (0.2500, 0.2500, 0.2500)  12 Cu 3.27, 4 Sr 3.41

M_tot, μB/cell: 0.00
Volume, Å³/cell: 121.9

---

*two*
## SrAcCu4 (PBE-GGA)

Data for crystalline SrAcCu4 at its relaxed geometry.

abc: 4.3078 6.0351 6.0350
angles: 87.82 69.09 69.09
With the nearest neighbours (Å) after each atom.
Element x y z (fractional)
Cu (0.6660, 0.0889, 0.0792)  3 Cu 2.50-2.51
Cu (0.6660, 0.5792, 0.5889)  3 Cu 2.50-2.51
Cu (0.3340, 0.9111, 0.9208)  3 Cu 2.50-2.51
Cu (0.3340, 0.4208, 0.4111)  3 Cu 2.50-2.51
Ac (0.0000, 0.5000, 0.0000)  12 Cu 3.23-3.30
Sr (0.0000, 0.0000, 0.5000)  12 Cu 3.25-3.28

M_tot, μB/cell: 0.00
Volume, Å³/cell: 136.2

---

It is *one* that is the least stable of them.

---

*one*
## AcTbCu4 (PBE-GGA)

Data for crystalline AcTbCu4 at its relaxed geometry.

abc: 4.1889 5.8304 5.8302
angles: 82.75 68.95 68.95
With the nearest neighbours (Å) after each atom.
Element x y z (fractional)
Cu (0.3372, 0.4277, 0.3979)  3 Cu 2.50
Cu (0.3372, 0.8979, 0.9276)  3 Cu 2.50
Cu (0.6628, 0.5723, 0.6021)  3 Cu 2.50
Cu (0.6628, 0.1021, 0.0724)  3 Cu 2.50
Ac (0.0000, 0.0000, 0.5000)  12 Cu 3.16-3.18
Tb (0.0000, 0.5000, 0.0000)  12 Cu 3.04-3.30

M_tot, μB/cell: 0.00
Volume, Å³/cell: 124.0

---

*two*
## AcTbCu4 (PBE-GGA)

Data for crystalline AcTbCu4 at its relaxed geometry.

abc: 5.4358 5.4358 5.4358
angles: 60.00 60.00 60.00
With the nearest neighbours (Å) after each atom.
Element x y z (fractional)
Ac (0.2500, 0.2500, 0.2500)  12 Cu 3.19, 4 Tb 3.33
Tb (0.0000, 0.0000, 0.0000)  12 Cu 3.18, 4 Ac 3.33
Cu (0.6277, 0.6277, 0.6277)  6 Cu 2.66-2.78
Cu (0.6277, 0.1170, 0.6277)  6 Cu 2.66-2.78
Cu (0.6277, 0.6277, 0.1170)  6 Cu 2.66-2.78
Cu (0.1170, 0.6277, 0.6277)  6 Cu 2.66-2.78

M_tot, μB/cell: 0.00
Volume, Å³/cell: 113.6

---

It is *two* that is the least stable of them.